a.
## Ca2AgHgH (PBE)

Data for a geometry-optimized Ca2AgHgH structure.

Output
As for the density: 6127 kg/m3. Its magnetization is 0.0 Bohr magnetons per cell. The space group is P4/mmm.

Unit cell a=5.184 b=5.184 c=3.929 alpha=90.00 beta=90.00 gamma=90.00
Sites, in units of the cell vectors:
Ca 0.000 0.500 0.000
Ca 0.500 0.000 0.000
Ag 0.000 0.000 0.500
Hg 0.500 0.500 0.500
H 0.000 0.000 0.000

---

b.
## Ca2AgHgH (PBE)

Data for a geometry-optimized Ca2AgHgH structure.

Output
As for the density: 6115 kg/m3. Its magnetization is 0.0 Bohr magnetons per cell. The space group is P4/mmm.

Unit cell a=4.980 b=4.980 c=4.267 alpha=90.00 beta=90.00 gamma=90.00
Sites, in units of the cell vectors:
Ca 0.000 0.500 0.000
Ca 0.500 0.000 0.000
Ag 0.000 0.000 0.500
Hg 0.500 0.500 0.500
H 0.500 0.500 0.000

---

Which one is most stable, and which one is least stable? a is the most stable of them, while b is the least stable.

---

a.
## LiCa2AgH (PBE)

Data for a geometry-optimized LiCa2AgH structure.

Output
As for the density: 3162 kg/m3. Its magnetization is 0.0 Bohr magnetons per cell. The space group is P4/mmm.

Unit cell a=5.092 b=5.092 c=3.969 alpha=90.00 beta=90.00 gamma=90.00
Sites, in units of the cell vectors:
Li 0.000 0.000 0.000
Ca 0.000 0.500 0.500
Ca 0.500 0.000 0.500
Ag 0.500 0.500 0.000
H 0.000 0.000 0.500

---

b.
## LiCa2AgH (PBE)

Data for a geometry-optimized LiCa2AgH structure.

Output
As for the density: 3024 kg/m3. Its magnetization is 0.0 Bohr magnetons per cell. The space group is P4/mmm.

Unit cell a=4.999 b=4.999 c=4.306 alpha=90.00 beta=90.00 gamma=90.00
Sites, in units of the cell vectors:
Li 0.000 0.000 0.000
Ca 0.000 0.500 0.500
Ca 0.500 0.000 0.500
Ag 0.500 0.500 0.000
H 0.500 0.500 0.500

---

Which one is most stable, and which one is least stable? a is the most stable of them, while b is the least stable.

---

a.
## Na2CaAgH (PBE)

Data for a geometry-optimized Na2CaAgH structure.

Output
As for the density: 2980 kg/m3. Its magnetization is 0.0 Bohr magnetons per cell. The space group is P4/mmm.

Unit cell a=4.717 b=4.717 c=4.883 alpha=90.00 beta=90.00 gamma=90.00
Sites, in units of the cell vectors:
Na 0.000 0.500 0.000
Na 0.500 0.000 0.000
Ca 0.000 0.000 0.500
Ag 0.500 0.500 0.500
H 0.000 0.000 0.000

---

b.
## Na2CaAgH (PBE)

Data for a geometry-optimized Na2CaAgH structure.

Output
As for the density: 1835 kg/m3. Its magnetization is 0.0 Bohr magnetons per cell. The space group is P4/mmm.

Unit cell a=5.475 b=5.475 c=5.884 alpha=90.00 beta=90.00 gamma=90.00
Sites, in units of the cell vectors:
Na 0.000 0.500 0.000
Na 0.500 0.000 0.000
Ca 0.000 0.000 0.500
Ag 0.000 0.000 0.000
H 0.500 0.500 0.500

---

Which one is most stable, and which one is least stable? a is the most stable of them, while b is the least stable.

---

a.
## Ca2AgHPt (PBE)

Data for a geometry-optimized Ca2AgHPt structure.

Output
As for the density: 6825 kg/m3. Its magnetization is 0.0 Bohr magnetons per cell. The space group is P4/mmm.

Unit cell a=4.923 b=4.923 c=3.856 alpha=90.00 beta=90.00 gamma=90.00
Sites, in units of the cell vectors:
Ca 0.000 0.500 0.000
Ca 0.500 0.000 0.000
Ag 0.000 0.000 0.500
H 0.000 0.000 0.000
Pt 0.500 0.500 0.500

---

b.
## Ca2AgHPt (PBE)

Data for a geometry-optimized Ca2AgHPt structure.

Output
As for the density: 6636 kg/m3. Its magnetization is 0.0 Bohr magnetons per cell. The space group is P4/mmm.

Unit cell a=5.176 b=5.176 c=3.589 alpha=90.00 beta=90.00 gamma=90.00
Sites, in units of the cell vectors:
Ca 0.000 0.500 0.000
Ca 0.500 0.000 0.000
Ag 0.000 0.000 0.500
H 0.500 0.500 0.000
Pt 0.500 0.500 0.500

---

Which one is most stable, and which one is least stable? b is the most stable of them, while a is the least stable.

---

a.
## Ca2AgHRh (PBE)

Data for a geometry-optimized Ca2AgHRh structure.

Output
As for the density: 5235 kg/m3. Its magnetization is 0.0 Bohr magnetons per cell. The space group is P4/mmm.

Unit cell a=5.032 b=5.032 c=3.658 alpha=90.00 beta=90.00 gamma=90.00
Sites, in units of the cell vectors:
Ca 0.000 0.500 0.000
Ca 0.500 0.000 0.000
Ag 0.000 0.000 0.500
H 0.500 0.500 0.000
Rh 0.500 0.500 0.500

---

b.
## Ca2AgHRh (PBE)

Data for a geometry-optimized Ca2AgHRh structure.

Output
As for the density: 5342 kg/m3. Its magnetization is 0.0 Bohr magnetons per cell. The space group is P4/mmm.

Unit cell a=4.823 b=4.823 c=3.901 alpha=90.00 beta=90.00 gamma=90.00
Sites, in units of the cell vectors:
Ca 0.000 0.500 0.000
Ca 0.500 0.000 0.000
Ag 0.000 0.000 0.500
H 0.000 0.000 0.000
Rh 0.500 0.500 0.500

---

Which one is most stable, and which one is least stable? a is the most stable of them, while b is the least stable.

---

a.
## Ca2ZnAgH (PBE)

Data for a geometry-optimized Ca2ZnAgH structure.

Output
As for the density: 4157 kg/m3. Its magnetization is 0.0 Bohr magnetons per cell. The space group is P4/mmm.

Unit cell a=5.098 b=5.098 c=3.911 alpha=90.00 beta=90.00 gamma=90.00
Sites, in units of the cell vectors:
Ca 0.000 0.500 0.000
Ca 0.500 0.000 0.000
Zn 0.000 0.000 0.500
Ag 0.500 0.500 0.500
H 0.500 0.500 0.000

---

b.
## Ca2ZnAgH (PBE)

Data for a geometry-optimized Ca2ZnAgH structure.

Output
As for the density: 4276 kg/m3. Its magnetization is 0.0 Bohr magnetons per cell. The space group is P4/mmm.

Unit cell a=4.953 b=4.953 c=4.028 alpha=90.00 beta=90.00 gamma=90.00
Sites, in units of the cell vectors:
Ca 0.000 0.500 0.000
Ca 0.500 0.000 0.000
Zn 0.000 0.000 0.500
Ag 0.500 0.500 0.500
H 0.000 0.000 0.000

---

Which one is most stable, and which one is least stable? b is the most stable of them, while a is the least stable.

---

a.
## Ca3HfAg (PBE)

Data for a geometry-optimized Ca3HfAg structure.

Output
As for the density: 3810 kg/m3. Its magnetization is 2.3 Bohr magnetons per cell. The space group is Pm-3m.

Unit cell a=5.617 b=5.617 c=5.617 alpha=90.00 beta=90.00 gamma=90.00
Sites, in units of the cell vectors:
Ca 0.000 0.000 0.500
Ca 0.000 0.500 0.000
Ca 0.500 0.000 0.000
Hf 0.500 0.500 0.500
Ag 0.000 0.000 0.000

---

b.
## Ca3HfAg (PBE)

Data for a geometry-optimized Ca3HfAg structure.

Output
As for the density: 3250 kg/m3. Its magnetization is 3.1 Bohr magnetons per cell. The space group is Pm-3m.

Unit cell a=5.922 b=5.922 c=5.922 alpha=90.00 beta=90.00 gamma=90.00
Sites, in units of the cell vectors:
Ca 0.000 0.000 0.500
Ca 0.000 0.500 0.000
Ca 0.500 0.000 0.000
Hf 0.000 0.000 0.000
Ag 0.500 0.500 0.500

---

Which one is most stable, and which one is least stable? a is the most stable of them, while b is the least stable.

---

a.
## Ca2HfAg (PBE)

Data for a geometry-optimized Ca2HfAg structure.

Output
As for the density: 5329 kg/m3. Its magnetization is 4.2 Bohr magnetons per cell. The space group is I-42d.

Unit cell a=8.553 b=8.553 c=6.244 alpha=90.00 beta=90.00 gamma=90.00
Sites, in units of the cell vectors:
Ca 0.205 0.750 0.125
Ca 0.250 0.205 0.875
Ca 0.250 0.295 0.375
Ca 0.295 0.750 0.625
Ca 0.705 0.250 0.625
Ca 0.750 0.705 0.375
Ca 0.750 0.795 0.875
Ca 0.795 0.250 0.125
Hf 0.000 0.000 0.500
Hf 0.000 0.500 0.750
Hf 0.500 0.000 0.250
Hf 0.500 0.500 0.000
Ag 0.000 0.000 0.000
Ag 0.000 0.500 0.250
Ag 0.500 0.000 0.750
Ag 0.500 0.500 0.500

---

b.
## Ca2HfAg (PBE)

Data for a geometry-optimized Ca2HfAg structure.

Output
As for the density: 5547 kg/m3. Its magnetization is 0.0 Bohr magnetons per cell. The space group is Fm-3m.

Unit cell a=7.599 b=7.599 c=7.599 alpha=90.00 beta=90.00 gamma=90.00
Sites, in units of the cell vectors:
Ca 0.250 0.250 0.250
Ca 0.250 0.250 0.750
Ca 0.250 0.750 0.250
Ca 0.250 0.750 0.750
Ca 0.750 0.250 0.250
Ca 0.750 0.250 0.750
Ca 0.750 0.750 0.250
Ca 0.750 0.750 0.750
Hf 0.000 0.000 0.000
Hf 0.000 0.500 0.500
Hf 0.500 0.000 0.500
Hf 0.500 0.500 0.000
Ag 0.000 0.000 0.500
Ag 0.000 0.500 0.000
Ag 0.500 0.000 0.000
Ag 0.500 0.500 0.500

---

Which one is most stable, and which one is least stable? b is the most stable of them, while a is the least stable.